Below is an optimized crystal structure of TbTmGa2Ag2, with properties calculated at the PBE-GGA level.

abc: 4.5870 4.5870 6.9696
angles: 90.00 90.00 120.00
Last column: nearest neighbours and their distance in Å.
Positions (direct):
1 Ga 0.3333 0.6667 0.7786  3 Ag 2.67
2 Ga 0.3333 0.6667 0.2214  3 Ag 2.67
3 Tm 0.0000 0.0000 0.5000  6 Ag 3.11, 6 Ga 3.28
4 Ag 0.6667 0.3333 0.7329  3 Ga 2.67
5 Ag 0.6667 0.3333 0.2671  3 Ga 2.67
6 Tb 0.0000 0.0000 0.0000  6 Ga 3.07, 6 Ag 3.24

raw total energy	-3.9682	eV per atom
space-group type	P-6m2
total moment	0.00	μB/atom



Below is an optimized crystal structure of TbTmGa2Ag2, with properties calculated at the PBE-GGA level.

abc: 4.5814 4.5814 6.9974
angles: 90.00 90.00 120.00
Last column: nearest neighbours and their distance in Å.
Positions (direct):
1 Ag 0.6667 0.3333 0.2466  3 Ga 2.66
2 Ag 0.6667 0.3333 0.7534  3 Ga 2.66
3 Ga 0.3333 0.6667 0.7143  3 Ag 2.66
4 Ga 0.3333 0.6667 0.2857  3 Ag 2.66
5 Tm 0.0000 0.0000 0.5000  6 Ga 3.04, 6 Ag 3.18
6 Tb 0.0000 0.0000 0.0000  6 Ag 3.16, 6 Ga 3.32, 2 Tm 3.50

raw total energy	-3.9700	eV per atom
space-group type	P-6m2
total moment	0.00	μB/atom



Below is an optimized crystal structure of Ga2Tc2Ag, with properties calculated at the PBE-GGA level.

abc: 6.6786 6.6786 6.6786
angles: 147.70 147.70 46.32
Last column: nearest neighbours and their distance in Å.
Positions (direct):
1 Tc 0.2500 0.7500 0.5000  4 Ga 2.62, 4 Tc 2.63
2 Tc 0.7500 0.2500 0.5000  4 Ga 2.62, 4 Tc 2.63
3 Ga 0.4004 0.4004 0.0000  1 Ga 2.45, 4 Tc 2.62
4 Ga 0.5996 0.5996 0.0000  1 Ga 2.45, 4 Tc 2.62
5 Ag 0.0000 0.0000 0.0000  8 Ga 2.90

raw total energy	-5.5958	eV per atom
space-group type	I4/mmm
total moment	0.00	μB/atom